Entry 1:
This record from the Alexandria database describes a geometry-optimized LaTa structure. The functional is PBE-GGA.

Results
ΔE_f   460 meV/atom
Uncorrected energy   -95.16 eV for the cell shown

Structure (CIF):
```
data_LaTa
_chemical_formula_sum 'La6 Ta6'
_symmetry_space_group_name_H-M 'C 1 2 1'
_symmetry_Int_Tables_number 5
_symmetry_space_group_name_Hall 'C 2y'
_cell_length_a 10.134
_cell_length_b 5.837
_cell_length_c 6.158
_cell_angle_alpha 90.00
_cell_angle_beta 123.32
_cell_angle_gamma 90.00
loop_
_atom_site_label
_atom_site_fract_x
_atom_site_fract_y
_atom_site_fract_z
La1 0.000 0.000 0.000
La2 0.119 0.499 0.856
Ta1 0.000 0.997 0.500
Ta2 0.249 0.249 0.496
```



Entry 2:
This record from the Alexandria database describes a geometry-optimized RbZn3Ge3 structure. The functional is PBE-GGA.

Results
ΔE_f   123 meV/atom
Uncorrected energy   -35.56 eV for the cell shown

Structure (CIF):
```
data_RbZn3Ge3
_chemical_formula_sum 'Rb2 Zn6 Ge6'
_symmetry_space_group_name_H-M 'P m -3 n'
_symmetry_Int_Tables_number 223
_symmetry_space_group_name_Hall '-P 4n 2 3'
_cell_length_a 7.104
_cell_length_b 7.104
_cell_length_c 7.104
_cell_angle_alpha 90.00
_cell_angle_beta 90.00
_cell_angle_gamma 90.00
loop_
_atom_site_label
_atom_site_fract_x
_atom_site_fract_y
_atom_site_fract_z
Rb1 0.000 0.000 0.000
Zn1 0.000 0.250 0.500
Ge1 0.000 0.500 0.250
```